Here is an optimized crystal structure of AlFeAs2Os from Alexandria via LeMat-Bulk. Energies are from PBE-GGA.

extended XYZ file:
```
5
Lattice="4.388 0.000 0.000 0.000 4.698 0.000 0.000 0.000 4.388" Properties=species:S:1:pos:R:3 pbc="T T T"
As 2.194 0.000 0.000
Fe 0.000 0.000 0.000
Al 2.194 2.349 2.194
Os 0.000 2.349 0.000
As 0.000 0.000 2.194
```

Properties
Magnetization = 0.0 μB/f.u.
E = -5.68 eV per atom



Here is an optimized crystal structure of AlFeAsRu from Alexandria via LeMat-Bulk. Energies are from PBE-GGA.

extended XYZ file:
```
4
Lattice="-0.226 -2.504 -3.347 -1.960 -3.688 0.274 -3.664 -0.572 -1.942" Properties=species:S:1:pos:R:3 pbc="T T T"
Fe -4.387 -5.073 -3.761
As 0.000 0.000 0.000
Al -2.925 -3.382 -2.507
Ru -1.462 -1.691 -1.254
```

Properties
Magnetization = 0.0 μB/f.u.
E = -6.75 eV per atom



| no. | theoretical density (g/cm3) | formation enthalpy at 0 K (eV/atom) |
| --- | --- | --- |
| 1 | 7.8 | 0.869 |
| 2 | 8.3 | -0.220 |